Computed, not measured: a relaxed RbUN2 crystal at the PBE-GGA level of DFT.

Lattice parameters (Å, degrees): 3.5627 3.5627 7.0301 75.32 75.32 60.00
Last column: nearest neighbours and their distance in Å.
Element x y z (fractional)
N 0.2165 0.2165 0.3505  3 U 2.29
N 0.7835 0.7835 0.6495  3 U 2.29
Rb 0.0000 0.0000 0.0000  6 N 3.13
U 0.5000 0.5000 0.5000  6 N 2.29

Output
Formation energy without anion corrections (kcal/mol of atoms): -21.23
DOS(E_F) (states/eV/cell): 3.8
Calculated volume (Å³/f.u.): 73.90
M_tot (μB/f.u.): 1.01
Offset from the most stable computed form (eV/atom): 0.000

***

Computed, not measured: a relaxed In8Bi2Rh crystal at the PBE-GGA level of DFT.

Lattice parameters (Å, degrees): 4.1038 9.8482 8.5070 118.24 89.77 102.15
Last column: nearest neighbours and their distance in Å.
Element x y z (fractional)
In 0.6884 0.5591 0.9848  5 In 3.10-3.21
In 0.2899 0.7660 0.8963  1 Rh 2.90, 4 In 3.10-3.20
In 0.4659 0.1128 0.6378  1 Rh 2.86, 2 In 3.19
In 0.8573 0.8949 0.7250  2 Rh 2.85-2.86, 3 In 3.10-3.11
In 0.5835 0.3501 0.3078  1 Rh 2.79
In 0.9404 0.0638 0.1693  2 Rh 2.80, 1 In 2.90
In 0.0616 0.3015 0.9795  2 Rh 2.83-2.84
In 0.8469 0.8719 0.3474  5 In 2.90-3.19
Rh 0.4563 0.0908 0.9616  9 In 2.79-2.90
Bi 0.0891 0.3651 0.6027  9 In 3.19-3.54
Bi 0.2208 0.6240 0.3878  7 In 3.14-3.47

Output
DOS(E_F) (states/eV/cell): 4.5
ΔE_f (kJ/mol of atoms): -3.8
Calculated volume (Å³/f.u.): 294.28
M_tot (μB/f.u.): 0.00

***

Computed, not measured: a relaxed FeCo6Mo crystal at the PBE-GGA level of DFT.

Lattice parameters (Å, degrees): 6.1874 6.1874 10.1110 90.00 90.00 109.59
Last column: nearest neighbours and their distance in Å.
Element x y z (fractional)
Co 0.3714 0.1237 0.8760  8 Co 2.50-2.56, 1 Fe 2.51, 3 Mo 2.53-2.55
Co 0.6286 0.8763 0.8760  8 Co 2.50-2.56, 1 Fe 2.51, 3 Mo 2.53-2.55
Co 0.7519 0.2481 0.0024  8 Co 2.49-2.56, 2 Fe 2.50-2.51, 2 Mo 2.55
Co 0.1202 0.3733 0.1267  8 Co 2.49-2.56, 3 Fe 2.51-2.52, 1 Mo 2.55
Co 0.8763 0.6286 0.6240  8 Co 2.50-2.56, 1 Fe 2.51, 3 Mo 2.53-2.55
Co 0.1237 0.3714 0.6240  8 Co 2.50-2.56, 1 Fe 2.51, 3 Mo 2.53-2.55
Co 0.8763 0.6286 0.8760  8 Co 2.50-2.56, 1 Fe 2.51, 3 Mo 2.53-2.55
Co 0.8798 0.6267 0.1267  8 Co 2.49-2.56, 3 Fe 2.51-2.52, 1 Mo 2.55
Co 0.1202 0.3733 0.3733  8 Co 2.49-2.56, 3 Fe 2.51-2.52, 1 Mo 2.55
Co 0.7519 0.2481 0.4976  8 Co 2.49-2.56, 2 Fe 2.50-2.51, 2 Mo 2.55
Co 0.6286 0.8763 0.6240  8 Co 2.50-2.56, 1 Fe 2.51, 3 Mo 2.53-2.55
Co 0.5000 0.5000 0.7500  4 Mo 2.48-2.54, 8 Co 2.54
Co 0.2481 0.7519 0.0024  8 Co 2.49-2.56, 2 Fe 2.50-2.51, 2 Mo 2.55
Co 0.8798 0.6267 0.3733  8 Co 2.49-2.56, 3 Fe 2.51-2.52, 1 Mo 2.55
Co 0.6267 0.8798 0.3733  8 Co 2.49-2.56, 3 Fe 2.51-2.52, 1 Mo 2.55
Co 0.3733 0.1202 0.3733  8 Co 2.49-2.56, 3 Fe 2.51-2.52, 1 Mo 2.55
Co 0.0000 0.0000 0.2500  8 Co 2.51, 4 Fe 2.51-2.55
Co 0.3714 0.1237 0.6240  8 Co 2.50-2.56, 1 Fe 2.51, 3 Mo 2.53-2.55
Co 0.3733 0.1202 0.1267  8 Co 2.49-2.56, 3 Fe 2.51-2.52, 1 Mo 2.55
Co 0.5000 0.5000 0.2500  2 Fe 2.50, 2 Mo 2.51, 8 Co 2.54
Co 0.2481 0.7519 0.4976  8 Co 2.49-2.56, 2 Fe 2.50-2.51, 2 Mo 2.55
Co 0.6267 0.8798 0.1267  8 Co 2.49-2.56, 3 Fe 2.51-2.52, 1 Mo 2.55
Co 0.1237 0.3714 0.8760  8 Co 2.50-2.56, 1 Fe 2.51, 3 Mo 2.53-2.55
Co 0.0000 0.0000 0.7500  8 Co 2.51, 2 Fe 2.55, 2 Mo 2.57
Mo 0.2543 0.7457 0.7500  12 Co 2.48-2.57
Mo 0.5000 0.5000 0.0014  12 Co 2.51-2.55
Mo 0.5000 0.5000 0.4986  12 Co 2.51-2.55
Mo 0.7457 0.2543 0.7500  12 Co 2.48-2.57
Fe 0.2526 0.7474 0.2500  12 Co 2.50-2.55
Fe 0.7474 0.2526 0.2500  12 Co 2.50-2.55
Fe 0.0000 0.0000 0.0017  12 Co 2.51-2.55
Fe 0.0000 0.0000 0.4983  12 Co 2.51-2.55

Output
DOS(E_F) (states/eV/cell): 38.0
ΔE_f (kJ/mol of atoms): 2.5
Calculated volume (Å³/f.u.): 91.17
M_tot (μB/f.u.): 8.84
Offset from the most stable computed form (eV/atom): 0.000

***

Computed, not measured: a relaxed Sc2GePt crystal at the PBE-GGA level of DFT.

Lattice parameters (Å, degrees): 3.6361 4.4956 4.4956 90.00 90.00 90.00
Last column: nearest neighbours and their distance in Å.
Element x y z (fractional)
Ge 0.5000 0.0000 0.0000  8 Sc 2.89, 4 Pt 3.18
Sc 0.0000 0.0000 0.5000  4 Ge 2.89, 4 Pt 2.89, 4 Sc 3.18
Sc 0.0000 0.5000 0.0000  4 Ge 2.89, 4 Pt 2.89, 4 Sc 3.18
Pt 0.5000 0.5000 0.5000  8 Sc 2.89, 4 Ge 3.18

Output
DOS(E_F) (states/eV/cell): 2.5
ΔE_f (kJ/mol of atoms): -90.7
Calculated volume (Å³/f.u.): 73.49
M_tot (μB/f.u.): 0.00

***

Computed, not measured: a relaxed PmYTm2S4 crystal at the PBE-GGA level of DFT.

Lattice parameters (Å, degrees): 3.8604 6.8697 6.7392 71.16 90.00 90.00
Last column: nearest neighbours and their distance in Å.
Element x y z (fractional)
S 0.0000 0.2350 0.2596  3 Tm 2.70-2.74, 1 Y 2.80, 2 Pm 2.84
S 0.5000 0.7616 0.2504  3 Tm 2.70-2.73, 2 Y 2.80, 1 Pm 2.83
S 0.5000 0.2384 0.7496  3 Tm 2.70-2.73, 2 Y 2.80, 1 Pm 2.83
S 0.0000 0.7650 0.7404  3 Tm 2.70-2.74, 1 Y 2.80, 2 Pm 2.84
Y 0.0000 0.5000 0.5000  6 S 2.80
Pm 0.5000 0.5000 0.0000  6 S 2.83-2.84
Tm 0.5000 0.0000 0.5000  6 S 2.70
Tm 0.0000 0.0000 0.0000  6 S 2.73-2.74

Output
Formation energy without anion corrections (kcal/mol of atoms): -45.49
DOS(E_F) (states/eV/cell): 4.3
Calculated volume (Å³/f.u.): 169.15
M_tot (μB/f.u.): 0.00

***

Computed, not measured: a relaxed Mg3Ga2Ag2 crystal at the PBE-GGA level of DFT.

Lattice parameters (Å, degrees): 4.4674 3.2477 9.6182 99.72 103.43 90.00
Last column: nearest neighbours and their distance in Å.
Element x y z (fractional)
Mg 0.2985 0.7985 0.5970  5 Ag 2.84-2.96, 2 Ga 2.94
Mg 0.7015 0.2015 0.4030  5 Ag 2.84-2.96, 2 Ga 2.94
Mg 0.0000 0.0000 0.0000  8 Ga 3.04, 4 Ag 3.12, 2 Mg 3.25
Ga 0.4313 0.4313 0.8626  1 Ga 2.53, 2 Ag 2.63
Ga 0.5687 0.5687 0.1374  1 Ga 2.53, 2 Ag 2.63
Ag 0.8557 0.3557 0.7114  2 Ga 2.63, 1 Mg 2.84
Ag 0.1443 0.6443 0.2886  2 Ga 2.63, 1 Mg 2.84

Output
DOS(E_F) (states/eV/cell): 2.2
ΔE_f (kJ/mol of atoms): -14.5
Calculated volume (Å³/f.u.): 133.67
M_tot (μB/f.u.): 0.00
Offset from the most stable computed form (eV/atom): 0.000

***

Computed, not measured: a relaxed Pm8GaRh5 crystal at the PBE-GGA level of DFT.

Lattice parameters (Å, degrees): 7.6863 7.6863 7.6863 109.12 110.17 109.12
Last column: nearest neighbours and their distance in Å.
Element x y z (fractional)
Pm 0.5091 0.6360 0.2594  3 Rh 2.82-2.87
Pm 0.7406 0.2497 0.3766  3 Rh 2.82-2.87
Pm 0.0001 0.1157 0.7539  2 Rh 2.82-2.87, 1 Ga 2.97
Pm 0.1156 0.7538 0.9999  2 Rh 2.82-2.87, 1 Ga 2.97
Pm 0.6382 0.8843 0.8844  2 Rh 2.82-2.87, 1 Ga 2.97
Pm 0.2461 0.2462 0.3618  2 Rh 2.82-2.87, 1 Ga 2.97
Pm 0.6234 0.3640 0.8731  3 Rh 2.82-2.87
Pm 0.1269 0.7503 0.4909  3 Rh 2.82-2.87
Rh 0.0008 0.3748 0.1209  4 Pm 2.82-2.87
Rh 0.7461 0.6252 0.6260  4 Pm 2.82-2.87
Rh 0.5000 0.0000 0.5000  4 Pm 2.84
Rh 0.3740 0.1201 0.9992  4 Pm 2.82-2.87
Rh 0.8791 0.8799 0.2539  4 Pm 2.82-2.87
Ga 0.2500 0.5000 0.7500  8 Pm 2.97-3.31

Output
DOS(E_F) (states/eV/cell): 8.2
ΔE_f (kJ/mol of atoms): -57.4
Calculated volume (Å³/f.u.): 349.53
M_tot (μB/f.u.): 0.00

***

Computed, not measured: a relaxed ThAl3Ga3 crystal at the PBE-GGA level of DFT.

Lattice parameters (Å, degrees): 6.8945 6.8945 6.8945 90.00 90.00 90.00
Last column: nearest neighbours and their distance in Å.
Element x y z (fractional)
Ga 0.7500 0.5000 0.0000  4 Al 2.44
Ga 0.0000 0.7500 0.5000  4 Al 2.44
Ga 0.2500 0.5000 0.0000  4 Al 2.44
Ga 0.5000 0.0000 0.2500  4 Al 2.44
Ga 0.5000 0.0000 0.7500  4 Al 2.44
Ga 0.0000 0.2500 0.5000  4 Al 2.44
Al 0.0000 0.5000 0.2500  4 Ga 2.44
Al 0.0000 0.5000 0.7500  4 Ga 2.44
Al 0.5000 0.7500 0.0000  4 Ga 2.44
Al 0.7500 0.0000 0.5000  4 Ga 2.44
Al 0.2500 0.0000 0.5000  4 Ga 2.44
Al 0.5000 0.2500 0.0000  4 Ga 2.44
Th 0.5000 0.5000 0.5000  12 Al 3.85, 12 Ga 3.85
Th 0.0000 0.0000 0.0000  12 Al 3.85, 12 Ga 3.85

Output
DOS(E_F) (states/eV/cell): 7.7
ΔE_f (kJ/mol of atoms): 26.8
Calculated volume (Å³/f.u.): 163.86
M_tot (μB/f.u.): 0.00

***

The lowest calculated volume belongs to which entry?
Sc2GePt

***

M_tot of number 6 (Mg3Ga2Ag2)?
0.00 μB/f.u.